Entry 1:
Entry from the Alexandria database: Cs2NbAgBr6 after structural relaxation (PBE-GGA).

Results
- ΔE_f (raw): -1097 meV per atom
- Density of states at the Fermi level: 9.946 states/eV/cell
- Polymorph energy (0 for the lowest one): 0.014 eV/atom

a b c (Å): 7.861 7.861 7.858
angles (deg): 59.99 59.99 90.00
Sites, in units of the cell vectors:
Br (0.260, 0.740, 0.000)
Br (0.740, 0.260, 0.000)
Br (0.740, 0.740, 0.000)
Br (0.260, 0.260, 0.000)
Br (0.260, 0.260, 0.481)
Br (0.740, 0.740, 0.519)
Cs (0.250, 0.750, 0.500)
Cs (0.750, 0.250, 0.500)
Ag (0.000, 0.000, 0.000)
Nb (0.500, 0.500, 0.000)

***

Entry 2:
Entry from the Alexandria database: HgPtSe2 after structural relaxation (PBE-GGA).

Results
- ΔE_f (raw): 395 meV per atom
- Density of states at the Fermi level: 1.571 states/eV/cell
- Polymorph energy (0 for the lowest one): 0.688 eV/atom

a b c (Å): 3.312 4.591 5.213
angles (deg): 90.00 90.00 90.00
Sites, in units of the cell vectors:
Hg (0.500, 0.000, 0.500)
Se (0.000, 0.000, 0.000)
Se (0.500, 0.500, 0.000)
Pt (0.000, 0.500, 0.500)